## A
LiTiTl: relaxed, PBE.

Calculated values
Density, g/cm3: 7.4
Space group: Cmcm, No. 63

Cell: 7.952 7.952 4.729 Å, 90.00 90.00 157.24°
Last column: magnetic moment on the atom in μB.
Positions (direct):
Tl 0.882 0.118 0.250  -0.02
Tl 0.118 0.882 0.750  -0.02
Li 0.227 0.773 0.250  0.00
Li 0.773 0.227 0.750  0.00
Ti 0.553 0.447 0.250  1.11
Ti 0.447 0.553 0.750  1.10


## B
LiTiTl: relaxed, PBE.

Calculated values
Density, g/cm3: 6.9
Space group: P4/nmm, No. 129

Cell: 4.260 4.260 6.831 Å, 90.00 90.00 90.00°
Last column: magnetic moment on the atom in μB.
Positions (direct):
Tl 0.000 0.000 0.500  0.00
Tl 0.500 0.500 0.500  0.00
Li 0.000 0.500 0.240  0.02
Li 0.500 0.000 0.760  0.02
Ti 0.000 0.500 0.844  1.42
Ti 0.500 0.000 0.156  1.42


Last place for stability: B


## A
LiTiTl: relaxed, PBE.

Calculated values
Density, g/cm3: 7.5
Space group: C2/c, No. 15

Cell: 6.202 5.587 5.587 Å, 87.65 123.99 56.01°
Positions (direct):
Tl 0.500 0.500 0.000
Tl 0.000 0.500 0.000
Li 0.750 0.829 0.329
Li 0.250 0.171 0.671
Ti 0.750 0.195 0.695
Ti 0.250 0.805 0.305


## B
LiTiTl: relaxed, PBE.

Calculated values
Density, g/cm3: 7.3
Space group: C2/m, No. 12

Cell: 5.173 5.173 5.157 Å, 89.88 90.10 58.73°
Last column: magnetic moment on the atom in μB.
Positions (direct):
Tl 0.500 0.000 0.000  -0.01
Tl 0.000 0.500 0.500  -0.02
Li 0.827 0.327 0.000  0.01
Li 0.173 0.673 0.000  0.01
Ti 0.664 0.164 0.500  1.35
Ti 0.336 0.836 0.500  1.35


Last place for stability: A


## A
LiTiTl: relaxed, PBE.

Calculated values
Density, g/cm3: 6.5
Space group: F-43m, No. 216

Cell: 4.547 4.547 4.547 Å, 60.00 60.00 60.00°
Positions (direct):
Tl 0.000 0.000 0.000
Li 0.250 0.250 0.250
Ti 0.750 0.750 0.750


## B
LiTiTl: relaxed, PBE.

Calculated values
Density, g/cm3: 7.5
Space group: P2_1/m, No. 11

Cell: 8.564 4.265 3.131 Å, 90.00 90.12 90.00°
Positions (direct):
Tl 0.255 0.250 0.752
Tl 0.745 0.750 0.248
Li 0.549 0.250 0.252
Li 0.451 0.750 0.748
Ti 0.915 0.250 0.749
Ti 0.085 0.750 0.251


Last place for stability: A